A | Entry from Alexandria: a relaxed LaSm2Ho crystal (PBE).

Cell lengths 5.1176, 5.1176, 5.1743 Å; angles 90.00, 90.00, 90.00 degrees
Space group P4/mmm (No. 123)
Unique sites:
La  0.0000  0.0000  0.0000 [1 per cell]
Sm  0.0000  0.5000  0.5000 [2 per cell]
Ho  0.5000  0.5000  0.0000 [1 per cell]

Spin magnetization   0.00 Bohr magnetons per cell
Crystal system   tetragonal
ρ   7408 kg/m³

B | Entry from Alexandria: a relaxed LaSm2Ho crystal (PBE).

Cell lengths 8.1910, 8.1910, 8.1910 Å; angles 90.00, 90.00, 90.00 degrees
Space group Fm-3m (No. 225)
Unique sites:
La  0.0000  0.0000  0.0000 [4 per cell]
Sm  0.2500  0.2500  0.2500 [8 per cell]
Ho  0.0000  0.0000  0.5000 [4 per cell]

Spin magnetization   4.76 Bohr magnetons per cell
Crystal system   cubic
ρ   7307 kg/m³

C | Entry from Alexandria: a relaxed LaSm2Ho crystal (PBE).

Cell lengths 6.3728, 5.8450, 14.6980 Å; angles 90.00, 90.00, 90.00 degrees
Space group Pnma (No. 62)
Unique sites:
La  0.0847  0.2500  0.1883 [4 per cell]
Sm  0.0836  0.2500  0.6851 [4 per cell]
Sm  0.0865  0.2500  0.9378 [4 per cell]
Ho  0.0816  0.2500  0.4395 [4 per cell]

Spin magnetization   0.00 Bohr magnetons per cell
Crystal system   orthorhombic
ρ   7334 kg/m³

Which structure is most stable? A, by 11 meV per atom over the runner-up.

A | Entry from Alexandria: a relaxed La2Sm3Ho3 crystal (PBE).

Cell lengths 3.6309, 17.7489, 17.0455 Å; angles 90.00, 90.00, 90.00 degrees
Space group Cmcm (No. 63)
Unique sites:
La  0.0000  0.2197  0.1508 [8 per cell]
Sm  0.0000  0.3562  0.0133 [8 per cell]
Sm  0.0000  0.3926  0.2500 [4 per cell]
Ho  0.0000  0.0054  0.1006 [8 per cell]
Ho  0.0000  0.4214  0.7500 [4 per cell]

Spin magnetization   0.02 Bohr magnetons per cell
Crystal system   orthorhombic
ρ   7399 kg/m³

B | Entry from Alexandria: a relaxed La2Sm3Ho3 crystal (PBE).

Cell lengths 5.1291, 5.1365, 20.3720 Å; angles 90.00, 90.00, 90.00 degrees
Space group Immm (No. 71)
Unique sites:
La  0.0000  0.0000  0.2503 [4 per cell]
Sm  0.0000  0.0000  0.0000 [2 per cell]
Sm  0.0000  0.5000  0.1219 [4 per cell]
Ho  0.0000  0.0000  0.5000 [2 per cell]
Ho  0.0000  0.5000  0.3779 [4 per cell]

Spin magnetization   0.00 Bohr magnetons per cell
Crystal system   orthorhombic
ρ   7572 kg/m³

Which structure is most stable? B, by 97 meV per atom over the runner-up.

A | Entry from Alexandria: a relaxed La12Sm5Ho2 crystal (PBE).

Cell lengths 20.8045, 11.2890, 5.9700 Å; angles 90.00, 105.93, 90.00 degrees
Space group C2/m (No. 12)
Unique sites:
La  0.0778  0.0000  0.1578 [4 per cell]
La  0.0879  0.2111  0.6113 [8 per cell]
La  0.1188  0.5000  0.0090 [4 per cell]
La  0.1979  0.2289  0.2045 [8 per cell]
Sm  0.0000  0.5000  0.5000 [2 per cell]
Sm  0.1874  0.5000  0.5795 [4 per cell]
Sm  0.2080  0.0000  0.7915 [4 per cell]
Ho  0.0000  0.2901  0.0000 [4 per cell]

Spin magnetization   0.00 Bohr magnetons per cell
Crystal system   monoclinic
ρ   6770 kg/m³

B | Entry from Alexandria: a relaxed La12Sm5Ho2 crystal (PBE).

Cell lengths 19.5310, 7.6556, 10.1574 Å; angles 90.00, 116.50, 90.00 degrees
Space group C2/m (No. 12)
Unique sites:
La  0.0036  0.0000  0.2104 [4 per cell]
La  0.0127  0.5000  0.3398 [4 per cell]
La  0.1594  0.2492  0.8462 [8 per cell]
La  0.1662  0.2327  0.4972 [8 per cell]
Sm  0.0000  0.0000  0.5000 [2 per cell]
Sm  0.1733  0.0000  0.1648 [4 per cell]
Sm  0.1767  0.5000  0.1937 [4 per cell]
Ho  0.0000  0.3010  0.0000 [4 per cell]

Spin magnetization   0.00 Bohr magnetons per cell
Crystal system   monoclinic
ρ   6716 kg/m³

Which structure is most stable? A, by 39 meV per atom over the runner-up.